A relaxed BaCoNi2 crystal, computed with PBE-GGA.

a = 4.0513 Å, b = 4.3186 Å, c = 5.0862 Å
α = 80.21°, β = 90.00°, γ = 90.00°
Fractional positions:
Ni: 0.5000 0.2513 0.0662
Ba: 0.0000 0.4922 0.5001
Ni: 0.0000 0.9899 0.9978
Co: 0.5000 0.7666 0.9359

Properties
The formation energy comes out at 0.37 eV per atom. For the total energy, the calculation gives -4.776 eV/atom.